CaMnP2O7 | GGA+U | optimized geometry

Cell: 8.952 7.443 9.278 Å, 63.67 90.00 90.00°
Last column: magnetic moment on the atom in μB.
Atoms (fractional coordinates):
P  0.249  0.534  0.530  0.01
P  0.749  0.466  0.970  0.01
P  0.251  0.534  0.030  0.01
P  0.739  0.039  0.773  0.01
P  0.239  0.961  0.727  0.01
P  0.761  0.039  0.273  0.01
P  0.751  0.466  0.470  0.01
P  0.261  0.961  0.227  0.01
O  0.235  0.388  0.455  0.01
O  0.765  0.612  0.545  0.01
O  0.891  0.508  0.866  0.02
O  0.265  0.388  0.955  0.01
O  0.735  0.612  0.045  0.01
O  0.108  0.549  0.616  0.01
O  0.609  0.508  0.366  0.02
O  0.098  0.982  0.625  0.03
O  0.902  0.018  0.375  0.03
O  0.882  0.043  0.861  0.00
O  0.892  0.451  0.384  0.01
O  0.402  0.982  0.125  0.03
O  0.391  0.492  0.634  0.02
O  0.787  0.251  0.117  0.00
O  0.608  0.451  0.884  0.01
O  0.213  0.749  0.883  0.00
O  0.598  0.018  0.875  0.03
O  0.382  0.957  0.639  0.00
O  0.713  0.251  0.617  0.00
O  0.287  0.749  0.383  0.00
O  0.245  0.113  0.796  0.02
O  0.392  0.549  0.116  0.01
O  0.618  0.043  0.361  0.00
O  0.745  0.887  0.704  0.02
O  0.755  0.887  0.204  0.02
O  0.118  0.957  0.139  0.00
O  0.255  0.113  0.296  0.02
O  0.109  0.492  0.134  0.02
Mn  0.562  0.761  0.122  4.67
Mn  0.938  0.761  0.622  4.67
Mn  0.062  0.239  0.378  4.67
Mn  0.438  0.239  0.878  4.67
Ca  0.556  0.740  0.620  0.00
Ca  0.944  0.740  0.120  0.00
Ca  0.444  0.260  0.380  0.00
Ca  0.056  0.260  0.880  0.00

Properties
Energy = -7.447 eV per atom
E above lowest polymorph = 13 meV/atom